1.
The following is a PBE-GGA calculation of crystalline LiZnTc2 at its relaxed geometry, from Alexandria.

Results
Its symmetry is Pm. The value obtained for the raw total energy is -23.56 eV per cell. The crystal system is monoclinic. The formation energy comes out at 0.090 eV per atom.

Lattice parameters (Å, degrees): 2.6039 4.2696 5.1725 90.00 98.95 90.00
With the nearest neighbours (Å) after each atom.
Sites, in units of the cell vectors:
Li: 0.0000 0.0000 0.0000  2 Zn 2.50, 2 Li 2.60, 4 Tc 2.68-2.74
Zn: 0.1817 0.5000 0.7779  2 Li 2.50, 2 Zn 2.60, 2 Tc 2.71
Tc: 0.5384 0.0000 0.4859  4 Tc 2.49-2.60, 2 Li 2.68-2.74
Tc: 0.7221 0.5000 0.2698  4 Tc 2.49-2.60, 2 Zn 2.71, 2 Li 2.71

2.
The following is a PBE-GGA calculation of crystalline LiZnTc2 at its relaxed geometry, from Alexandria.

Results
Its symmetry is Cmm2. The value obtained for the raw total energy is -46.83 eV per cell. The crystal system is orthorhombic. The formation energy comes out at 0.127 eV per atom.

Lattice parameters (Å, degrees): 2.8852 4.4790 9.1502 90.00 90.00 90.00
With the nearest neighbours (Å) after each atom.
Sites, in units of the cell vectors:
Li: 0.0000 0.0000 0.0000  6 Li 2.66-2.89, 2 Tc 2.73, 2 Zn 2.74
Li: 0.5000 0.5000 0.0000  6 Li 2.66-2.89, 2 Tc 2.73, 2 Zn 2.74
Zn: 0.0000 0.5000 0.7454  6 Zn 2.66-2.89, 2 Li 2.74, 2 Tc 2.75
Zn: 0.5000 0.0000 0.7454  6 Zn 2.66-2.89, 2 Li 2.74, 2 Tc 2.75
Tc: 0.0000 0.0000 0.4898  8 Tc 2.60-2.89, 2 Zn 2.75
Tc: 0.0000 0.5000 0.2534  8 Tc 2.60-2.89, 2 Li 2.73
Tc: 0.5000 0.0000 0.2534  8 Tc 2.60-2.89, 2 Li 2.73
Tc: 0.5000 0.5000 0.4898  8 Tc 2.60-2.89, 2 Zn 2.75

3.
The following is a PBE-GGA calculation of crystalline LiZnTc2 at its relaxed geometry, from Alexandria.

Results
Its symmetry is Pmm2. The value obtained for the raw total energy is -23.43 eV per cell. The crystal system is orthorhombic. The formation energy comes out at 0.122 eV per atom.

Lattice parameters (Å, degrees): 2.7169 3.8484 5.4910 90.00 90.00 90.00
With the nearest neighbours (Å) after each atom.
Sites, in units of the cell vectors:
Li: 0.0000 0.0000 0.0000  4 Zn 2.63, 6 Tc 2.71-2.84, 2 Li 2.72
Zn: 0.5000 0.5000 0.7858  4 Li 2.63, 2 Zn 2.72, 6 Tc 2.72-2.85
Tc: 0.0000 0.0000 0.4937  6 Tc 2.61-2.72, 2 Li 2.71-2.78, 4 Zn 2.85
Tc: 0.5000 0.5000 0.2905  6 Tc 2.61-2.72, 2 Zn 2.72-2.77, 4 Li 2.84

4.
The following is a PBE-GGA calculation of crystalline LiZn6Tc at its relaxed geometry, from Alexandria.

Results
Its symmetry is P4/mmm. The value obtained for the raw total energy is -20.73 eV per cell. Its distance to the lowest polymorph of the same formula is 0 meV per atom. The crystal system is tetragonal. The formation energy comes out at -0.101 eV per atom.

Lattice parameters (Å, degrees): 3.7470 3.7470 8.0916 90.00 90.00 90.00
With the nearest neighbours (Å) after each atom.
Sites, in units of the cell vectors:
Li: 0.0000 0.0000 0.0000  12 Zn 2.65-2.75
Zn: 0.0000 0.5000 0.2495  8 Zn 2.65-2.76, 2 Li 2.75, 2 Tc 2.76
Zn: 0.0000 0.5000 0.7505  8 Zn 2.65-2.76, 2 Li 2.75, 2 Tc 2.76
Zn: 0.5000 0.0000 0.2495  8 Zn 2.65-2.76, 2 Li 2.75, 2 Tc 2.76
Zn: 0.5000 0.0000 0.7505  8 Zn 2.65-2.76, 2 Li 2.75, 2 Tc 2.76
Zn: 0.5000 0.5000 0.0000  4 Li 2.65, 8 Zn 2.75
Zn: 0.5000 0.5000 0.5000  4 Tc 2.65, 8 Zn 2.76
Tc: 0.0000 0.0000 0.5000  12 Zn 2.65-2.76

5.
The following is a PBE-GGA calculation of crystalline LiZnTc at its relaxed geometry, from Alexandria.

Results
Its symmetry is Fmm2. The value obtained for the raw total energy is -52.89 eV per cell. Its distance to the lowest polymorph of the same formula is 191 meV per atom. The crystal system is orthorhombic. The formation energy comes out at 0.110 eV per atom.

Lattice parameters (Å, degrees): 3.0105 4.2461 13.5127 90.00 90.00 90.00
With the nearest neighbours (Å) after each atom.
Sites, in units of the cell vectors:
Li: 0.0000 0.0000 0.0000  4 Li 2.60, 2 Tc 2.71, 2 Zn 2.72
Li: 0.0000 0.5000 0.5000  4 Li 2.60, 2 Tc 2.71, 2 Zn 2.72
Li: 0.5000 0.0000 0.5000  4 Li 2.60, 2 Tc 2.71, 2 Zn 2.72
Li: 0.5000 0.5000 0.0000  4 Li 2.60, 2 Tc 2.71, 2 Zn 2.72
Zn: 0.0000 0.0000 0.3321  4 Zn 2.60, 2 Tc 2.69, 2 Li 2.72
Zn: 0.0000 0.5000 0.8321  4 Zn 2.60, 2 Tc 2.69, 2 Li 2.72
Zn: 0.5000 0.0000 0.8321  4 Zn 2.60, 2 Tc 2.69, 2 Li 2.72
Zn: 0.5000 0.5000 0.3321  4 Zn 2.60, 2 Tc 2.69, 2 Li 2.72
Tc: 0.0000 0.0000 0.6670  4 Tc 2.60, 2 Zn 2.69, 2 Li 2.71
Tc: 0.0000 0.5000 0.1670  4 Tc 2.60, 2 Zn 2.69, 2 Li 2.71
Tc: 0.5000 0.0000 0.1670  4 Tc 2.60, 2 Zn 2.69, 2 Li 2.71
Tc: 0.5000 0.5000 0.6670  4 Tc 2.60, 2 Zn 2.69, 2 Li 2.71

6.
The following is a PBE-GGA calculation of crystalline LiZnTc2 at its relaxed geometry, from Alexandria.

Results
Its symmetry is R-3m. The value obtained for the raw total energy is -68.30 eV per cell. The crystal system is trigonal. The formation energy comes out at 0.288 eV per atom.

Lattice parameters (Å, degrees): 2.6961 2.6961 27.7375 90.00 90.00 120.00
With the nearest neighbours (Å) after each atom.
Sites, in units of the cell vectors:
Li: 0.0000 0.0000 0.0000  6 Li 2.70, 6 Tc 2.84
Li: 0.3333 0.6667 0.6667  6 Li 2.70, 6 Tc 2.84
Li: 0.6667 0.3333 0.3333  6 Li 2.70, 6 Tc 2.84
Zn: 0.0000 0.0000 0.5000  6 Zn 2.70, 6 Tc 2.74
Zn: 0.3333 0.6667 0.1667  6 Zn 2.70, 6 Tc 2.74
Zn: 0.6667 0.3333 0.8333  6 Zn 2.70, 6 Tc 2.74
Tc: 0.0000 0.0000 0.2478  6 Tc 2.70, 3 Zn 2.74, 3 Li 2.84
Tc: 0.0000 0.0000 0.7522  6 Tc 2.70, 3 Zn 2.74, 3 Li 2.84
Tc: 0.3333 0.6667 0.4188  6 Tc 2.70, 3 Zn 2.74, 3 Li 2.84
Tc: 0.3333 0.6667 0.9145  6 Tc 2.70, 3 Zn 2.74, 3 Li 2.84
Tc: 0.6667 0.3333 0.0855  6 Tc 2.70, 3 Zn 2.74, 3 Li 2.84
Tc: 0.6667 0.3333 0.5812  6 Tc 2.70, 3 Zn 2.74, 3 Li 2.84

7.
The following is a PBE-GGA calculation of crystalline LiZnTc at its relaxed geometry, from Alexandria.

Results
Its symmetry is Imm2. The value obtained for the raw total energy is -25.91 eV per cell. Its distance to the lowest polymorph of the same formula is 281 meV per atom. The crystal system is orthorhombic. The formation energy comes out at 0.199 eV per atom.

Lattice parameters (Å, degrees): 2.5522 3.4337 9.2440 90.00 90.00 90.00
With the nearest neighbours (Å) after each atom.
Sites, in units of the cell vectors:
Li: 0.0000 0.0000 0.0000  4 Zn 2.52, 2 Li 2.55, 4 Tc 2.70
Li: 0.5000 0.5000 0.5000  4 Zn 2.52, 2 Li 2.55, 4 Tc 2.70
Zn: 0.0000 0.0000 0.3567  4 Li 2.52, 2 Zn 2.55, 4 Tc 2.70
Zn: 0.5000 0.5000 0.8567  4 Li 2.52, 2 Zn 2.55, 4 Tc 2.70
Tc: 0.0000 0.0000 0.6777  2 Tc 2.55, 4 Li 2.70, 4 Zn 2.70
Tc: 0.5000 0.5000 0.1777  2 Tc 2.55, 4 Li 2.70, 4 Zn 2.70

8.
The following is a PBE-GGA calculation of crystalline Li5Zn6Tc at its relaxed geometry, from Alexandria.

Results
Its symmetry is P2/m. The value obtained for the raw total energy is -28.91 eV per cell. The crystal system is monoclinic. The formation energy comes out at -0.111 eV per atom.

Lattice parameters (Å, degrees): 4.1642 6.6659 6.6169 90.00 108.21 90.00
With the nearest neighbours (Å) after each atom.
Sites, in units of the cell vectors:
Li: 0.0000 0.0000 0.0000  8 Zn 2.64-2.70
Li: 0.3259 0.0000 0.6524  8 Zn 2.68-2.78, 2 Li 2.83
Li: 0.3316 0.5000 0.6643  8 Zn 2.65-2.70, 2 Li 2.93, 1 Tc 2.96
Li: 0.6684 0.5000 0.3357  8 Zn 2.65-2.70, 2 Li 2.93, 1 Tc 2.96
Li: 0.6741 0.0000 0.3476  8 Zn 2.68-2.78, 2 Li 2.83
Zn: 0.1618 0.2543 0.3222  1 Tc 2.60, 7 Li 2.64-2.70, 2 Zn 2.90-2.91
Zn: 0.1618 0.7457 0.3222  1 Tc 2.60, 7 Li 2.64-2.70, 2 Zn 2.90-2.91
Zn: 0.5000 0.2575 0.0000  2 Tc 2.64, 6 Li 2.66-2.78, 4 Zn 2.90-2.91
Zn: 0.5000 0.7425 0.0000  2 Tc 2.64, 6 Li 2.66-2.78, 4 Zn 2.90-2.91
Zn: 0.8382 0.2543 0.6778  1 Tc 2.60, 7 Li 2.64-2.70, 2 Zn 2.90-2.91
Zn: 0.8382 0.7457 0.6778  1 Tc 2.60, 7 Li 2.64-2.70, 2 Zn 2.90-2.91
Tc: 0.0000 0.5000 0.0000  8 Zn 2.60-2.64

9.
The following is a PBE-GGA calculation of crystalline LiZnTc2 at its relaxed geometry, from Alexandria.

Results
Its symmetry is P2/m. The value obtained for the raw total energy is -23.19 eV per cell. The crystal system is monoclinic. The formation energy comes out at 0.184 eV per atom.

Lattice parameters (Å, degrees): 2.5738 4.4229 5.1022 90.00 103.81 90.00
With the nearest neighbours (Å) after each atom.
Sites, in units of the cell vectors:
Li: 0.0000 0.0000 0.0000  2 Zn 2.57, 2 Li 2.57, 4 Tc 2.70
Zn: 0.5000 0.0000 0.5000  2 Li 2.57, 2 Zn 2.57, 4 Tc 2.71
Tc: 0.2630 0.5000 0.7562  4 Tc 2.50-2.64, 2 Li 2.70, 2 Zn 2.71
Tc: 0.7370 0.5000 0.2438  4 Tc 2.50-2.64, 2 Li 2.70, 2 Zn 2.71

10.
The following is a PBE-GGA calculation of crystalline LiZnTc2 at its relaxed geometry, from Alexandria.

Results
Its symmetry is Pmmm. The value obtained for the raw total energy is -23.12 eV per cell. The crystal system is orthorhombic. The formation energy comes out at 0.201 eV per atom.

Lattice parameters (Å, degrees): 2.5797 4.3602 4.9919 90.00 90.00 90.00
With the nearest neighbours (Å) after each atom.
Sites, in units of the cell vectors:
Li: 0.0000 0.0000 0.0000  2 Zn 2.50, 2 Li 2.58
Zn: 0.0000 0.0000 0.5000  2 Li 2.50, 2 Zn 2.58
Tc: 0.5000 0.5000 0.2449  4 Tc 2.45-2.58
Tc: 0.5000 0.5000 0.7551  4 Tc 2.45-2.58

11.
The following is a PBE-GGA calculation of crystalline LiZnTc at its relaxed geometry, from Alexandria.

Results
Its symmetry is P4/nmm. The value obtained for the raw total energy is -27.59 eV per cell. Its distance to the lowest polymorph of the same formula is 0 meV per atom. The crystal system is tetragonal. The formation energy comes out at -0.081 eV per atom.

Lattice parameters (Å, degrees): 3.0173 3.0173 9.9438 90.00 90.00 90.00
With the nearest neighbours (Å) after each atom.
Sites, in units of the cell vectors:
Li: 0.2500 0.2500 0.1003  4 Zn 2.65, 4 Li 2.92
Li: 0.7500 0.7500 0.8997  4 Zn 2.65, 4 Li 2.92
Zn: 0.2500 0.2500 0.7412  4 Li 2.65, 4 Tc 2.72
Zn: 0.7500 0.7500 0.2588  4 Li 2.65, 4 Tc 2.72
Tc: 0.2500 0.2500 0.4288  4 Tc 2.56, 4 Zn 2.72
Tc: 0.7500 0.7500 0.5712  4 Tc 2.56, 4 Zn 2.72

12.
The following is a PBE-GGA calculation of crystalline LiZnTc2 at its relaxed geometry, from Alexandria.

Results
Its symmetry is Cmmm. The value obtained for the raw total energy is -45.96 eV per cell. The crystal system is orthorhombic. The formation energy comes out at 0.235 eV per atom.

Lattice parameters (Å, degrees): 3.1270 4.0969 8.9702 90.00 90.00 90.00
With the nearest neighbours (Å) after each atom.
Sites, in units of the cell vectors:
Li: 0.0000 0.0000 0.0000  4 Li 2.58, 4 Tc 2.78
Li: 0.5000 0.5000 0.0000  4 Li 2.58, 4 Tc 2.78
Zn: 0.0000 0.0000 0.5000  4 Zn 2.58, 4 Tc 2.69
Zn: 0.5000 0.5000 0.5000  4 Zn 2.58, 4 Tc 2.69
Tc: 0.0000 0.5000 0.2558  4 Tc 2.58, 2 Zn 2.69, 2 Li 2.78
Tc: 0.0000 0.5000 0.7442  4 Tc 2.58, 2 Zn 2.69, 2 Li 2.78
Tc: 0.5000 0.0000 0.2558  4 Tc 2.58, 2 Zn 2.69, 2 Li 2.78
Tc: 0.5000 0.0000 0.7442  4 Tc 2.58, 2 Zn 2.69, 2 Li 2.78

13.
The following is a PBE-GGA calculation of crystalline LiZnTc at its relaxed geometry, from Alexandria.

Results
Its symmetry is P3m1. The value obtained for the raw total energy is -13.21 eV per cell. Its distance to the lowest polymorph of the same formula is 195 meV per atom. The crystal system is trigonal. The formation energy comes out at 0.114 eV per atom.

Lattice parameters (Å, degrees): 2.6781 2.6781 6.9584 90.00 90.00 120.00
With the nearest neighbours (Å) after each atom.
Sites, in units of the cell vectors:
Li: 0.0000 0.0000 0.0000  6 Li 2.68, 3 Zn 2.79, 3 Tc 2.79
Zn: 0.3333 0.6667 0.6667  6 Zn 2.68, 3 Li 2.79, 3 Tc 2.79
Tc: 0.6667 0.3333 0.3335  6 Tc 2.68, 3 Zn 2.79, 3 Li 2.79

14.
The following is a PBE-GGA calculation of crystalline LiZnTc2 at its relaxed geometry, from Alexandria.

Results
Its symmetry is P4/mmm. The value obtained for the raw total energy is -23.25 eV per cell. The crystal system is tetragonal. The formation energy comes out at 0.167 eV per atom.

Lattice parameters (Å, degrees): 3.5923 3.5923 4.3186 90.00 90.00 90.00
With the nearest neighbours (Å) after each atom.
Sites, in units of the cell vectors:
Li: 0.0000 0.0000 0.0000  4 Zn 2.54, 8 Tc 2.81
Zn: 0.5000 0.5000 0.0000  4 Li 2.54, 8 Tc 2.81
Tc: 0.0000 0.5000 0.5000  4 Tc 2.54, 4 Zn 2.81, 4 Li 2.81
Tc: 0.5000 0.0000 0.5000  4 Tc 2.54, 4 Zn 2.81, 4 Li 2.81